# PBE-GGA SrCdPS2, relaxed
# ρ (Mg/m³): 3.79
# E above lowest polymorph (eV/atom): 0.000
# Formation energy (no corrections) (eV/atom): -0.1883
data_SrCdPS2
_cell_length_a 5.1474
_cell_length_b 5.1474
_cell_length_c 4.8802
_cell_angle_alpha 90.00
_cell_angle_beta 90.00
_cell_angle_gamma 90.00
_space_group_name_H-M_alt 'P 4/m m m'
_space_group_IT_number 123
_space_group_name_Hall '-P 4 2'
loop_
_atom_site_label
_atom_site_fract_x
_atom_site_fract_y
_atom_site_fract_z
_atom_site_occupancy
Sr1 0.0000 0.0000 0.0000 1
Cd1 0.5000 0.5000 0.5000 1
P1 0.5000 0.5000 0.0000 1
S1 0.0000 0.5000 0.5000 1